# 1
{"formula": "YBeReMo", "functional": "PBE", "state": "optimized geometry", "lattice": [[0.000, 3.191, 3.191], [3.191, 0.000, 3.191], [3.191, 3.191, 0.000]], "species": ["Y", "Be", "Re", "Mo"], "frac_coords": [[0.000, 0.000, 0.000], [0.250, 0.250, 0.250], [0.500, 0.500, 0.500], [0.750, 0.750, 0.750]]}

---

# 2
{"formula": "BeSb2Mo", "functional": "PBE", "state": "optimized geometry", "lattice": [[0.000, 3.368, 3.368], [3.368, 0.000, 3.368], [3.368, 3.368, 0.000]], "species": ["Be", "Sb", "Sb", "Mo"], "frac_coords": [[0.000, 0.000, 0.000], [0.500, 0.500, 0.500], [0.750, 0.750, 0.750], [0.250, 0.250, 0.250]]}

---

Computed values of size of the total moment (unit: Bohr magnetons per cell) for the preceding records, in sequence: 0.000, 1.457.
Computed values of mass density (unit: Mg/m³) for the preceding records, in sequence: 9.71, 7.57.
Computed values of VASP energy (unit: eV/f.u.) for the preceding records, in sequence: -32.45, -19.15.